Entry 1:
{
  "formula": "SiTe3F",
  "functional": "meta-GGA SCAN",
  "state": "single point on PBEsol structure",
  "m_tot_mub_per_atom": 0.000,
  "e_form_raw_kj_per_mol_atoms": 34.2,
  "polymorph_energy_mev_per_atom": 0,
  "mass_density_g_cm3": 5.3,
  "total_energy_ev_per_atom": -24.71,
  "lattice": [[5.1288, 0.0000, 0.0000], [0.0000, 5.1288, 0.0000], [0.0000, 0.0000, 5.1288]],
  "species": ["Si", "Te", "Te", "Te", "F"],
  "frac_coords": [[0.0000, 0.0000, 0.0000], [0.0000, 0.5000, 0.0000], [0.0000, 0.0000, 0.5000], [0.5000, 0.0000, 0.0000], [0.5000, 0.5000, 0.5000]]
}



Entry 2:
{
  "formula": "Mn2NbCrGa",
  "functional": "meta-GGA SCAN",
  "state": "single point on PBEsol structure",
  "m_tot_mub_per_atom": 2.077,
  "mass_density_g_cm3": 5.3,
  "total_energy_ev_per_atom": -19.80,
  "e_form_ev_per_atom": 1.074,
  "lattice": [[-1.5548, -0.2423, -4.2441], [-3.3365, -2.7307, 1.3782], [-2.8775, 3.9345, 0.8295]],
  "species": ["Cr", "Nb", "Mn", "Mn", "Ga"],
  "frac_coords": [[0.5000, 0.5000, 0.5000], [0.0000, 0.0000, 0.0000], [0.0000, 0.5000, 0.0000], [0.5000, 0.0000, 0.0000], [0.0000, 0.0000, 0.5000]]
}



Entry 3:
{
  "formula": "Ba3Sb4O",
  "functional": "meta-GGA SCAN",
  "state": "single point on PBEsol structure",
  "m_tot_mub_per_atom": 0.000,
  "e_form_raw_kj_per_mol_atoms": -125.4,
  "mass_density_g_cm3": 5.7,
  "total_energy_ev_per_atom": -35.54,
  "lattice": [[6.9424, -0.0437, 0.0000], [-2.1808, 11.6878, 0.0000], [0.0000, 0.0000, 13.0759]],
  "species": ["Ba", "Ba", "Ba", "Ba", "Ba", "Ba", "Ba", "Ba", "Ba", "Ba", "Ba", "Ba", "O", "O", "O", "O", "Sb", "Sb", "Sb", "Sb", "Sb", "Sb", "Sb", "Sb", "Sb", "Sb", "Sb", "Sb", "Sb", "Sb", "Sb", "Sb"],
  "frac_coords": [[0.2437, 0.4479, 0.5567], [0.2563, 0.0521, 0.0567], [0.7563, 0.5521, 0.4433], [0.7437, 0.9479, 0.9433], [0.8950, 0.2879, 0.0450], [0.6050, 0.2121, 0.5450], [0.1050, 0.7121, 0.9550], [0.3950, 0.7879, 0.4550], [0.8227, 0.0245, 0.2565], [0.6773, 0.4755, 0.7565], [0.1773, 0.9755, 0.7435], [0.3227, 0.5245, 0.2435], [0.9131, 0.0847, 0.0792], [0.5869, 0.4153, 0.5792], [0.0869, 0.9153, 0.9208], [0.4131, 0.5847, 0.4208], [0.9591, 0.3126, 0.3411], [0.5409, 0.1874, 0.8411], [0.0409, 0.6874, 0.6589], [0.4591, 0.8126, 0.1589], [0.3305, 0.0565, 0.3340], [0.1695, 0.4435, 0.8340], [0.6695, 0.9435, 0.6660], [0.8305, 0.5565, 0.1660], [0.0708, 0.1362, 0.4782], [0.4292, 0.3638, 0.9782], [0.9292, 0.8638, 0.5218], [0.5708, 0.6362, 0.0218], [0.5546, 0.2704, 0.2653], [0.9454, 0.2296, 0.7653], [0.4454, 0.7296, 0.7347], [0.0546, 0.7704, 0.2347]]
}



Entry 4:
{
  "formula": "Zn2HgOs",
  "functional": "meta-GGA SCAN",
  "state": "single point on PBEsol structure",
  "m_tot_mub_per_atom": 0.108,
  "mass_density_g_cm3": 14.1,
  "total_energy_ev_per_atom": -41.32,
  "e_form_ev_per_atom": 0.453,
  "lattice": [[3.1579, 0.0000, 0.0000], [0.0000, 3.1579, 0.0000], [0.0000, 0.0000, 6.1535]],
  "species": ["Hg", "Os", "Zn", "Zn"],
  "frac_coords": [[0.0000, 0.0000, 0.4952], [0.5000, 0.5000, 0.7926], [0.0000, 0.0000, 0.9918], [0.5000, 0.5000, 0.2204]]
}



Entry 5:
{
  "formula": "Na2HPt",
  "functional": "meta-GGA SCAN",
  "state": "single point on PBEsol structure",
  "m_tot_mub_per_atom": 0.000,
  "mass_density_g_cm3": 5.1,
  "total_energy_ev_per_atom": -20.72,
  "lattice": [[3.4348, 0.0000, 0.0000], [1.7174, 6.7913, 0.0000], [1.7174, 0.0000, 6.7913]],
  "species": ["Na", "Na", "Na", "Na", "Pt", "Pt", "H", "H"],
  "frac_coords": [[0.3049, 0.8201, 0.3201], [0.4451, 0.1799, 0.6799], [0.3750, 0.3201, 0.1799], [0.8750, 0.6799, 0.8201], [0.7500, 0.5000, 0.5000], [0.0000, 0.0000, 0.0000], [0.2500, 0.5000, 0.5000], [0.5000, 0.0000, 0.0000]]
}



Entry 6:
{
  "formula": "CaBe2As2",
  "functional": "meta-GGA SCAN",
  "state": "single point on PBEsol structure",
  "m_tot_mub_per_atom": 0.000,
  "mass_density_g_cm3": 4.1,
  "total_energy_ev_per_atom": -12.40,
  "e_form_ev_per_atom": -0.650,
  "lattice": [[3.6905, 0.0000, 0.0000], [0.0000, 3.6905, 0.0000], [-1.8453, -1.8453, 6.2307]],
  "species": ["Be", "Be", "As", "As", "Ca"],
  "frac_coords": [[0.2500, 0.7500, 0.5000], [0.7500, 0.2500, 0.5000], [0.3608, 0.3608, 0.7216], [0.6392, 0.6392, 0.2784], [0.0000, 0.0000, 0.0000]]
}



Entry 7:
{
  "formula": "Sc3NbPt",
  "functional": "meta-GGA SCAN",
  "state": "single point on PBEsol structure",
  "m_tot_mub_per_atom": 0.000,
  "mass_density_g_cm3": 6.3,
  "total_energy_ev_per_atom": -28.59,
  "e_form_ev_per_atom": 0.618,
  "lattice": [[4.8120, 0.0000, 0.0000], [0.0000, 4.8120, 0.0000], [0.0000, 0.0000, 4.8120]],
  "species": ["Sc", "Sc", "Sc", "Nb", "Pt"],
  "frac_coords": [[0.0000, 0.5000, 0.0000], [0.0000, 0.0000, 0.5000], [0.5000, 0.0000, 0.0000], [0.0000, 0.0000, 0.0000], [0.5000, 0.5000, 0.5000]]
}



Entry 8:
{
  "formula": "NaTcNi2Ag",
  "functional": "meta-GGA SCAN",
  "state": "single point on PBEsol structure",
  "m_tot_mub_per_atom": 0.941,
  "mass_density_g_cm3": 7.1,
  "total_energy_ev_per_atom": -18.85,
  "e_form_ev_per_atom": 1.751,
  "lattice": [[-0.2168, -0.1093, -4.2726], [-2.3605, -3.5634, 0.2109], [-3.6928, 2.4535, 0.1246]],
  "species": ["Ni", "Ni", "Tc", "Ag", "Na"],
  "frac_coords": [[0.0000, 0.5000, 0.0000], [0.5000, 0.0000, 0.0000], [0.5000, 0.5000, 0.5000], [0.0000, 0.0000, 0.5000], [0.0000, 0.0000, 0.0000]]
}



Entry 9:
{
  "formula": "La2PdAu2",
  "functional": "meta-GGA SCAN",
  "state": "single point on PBEsol structure",
  "m_tot_mub_per_atom": 0.000,
  "mass_density_g_cm3": 10.8,
  "total_energy_ev_per_atom": -52.38,
  "e_form_ev_per_atom": -0.918,
  "lattice": [[-3.5949, 1.7682, 0.4974], [-2.0370, -2.1410, -7.1110], [-2.8509, -6.5832, 2.7988]],
  "species": ["Au", "Au", "Au", "Au", "Pd", "Pd", "La", "La", "La", "La"],
  "frac_coords": [[0.0000, 0.3702, 0.8702], [0.0000, 0.8702, 0.6298], [0.0000, 0.6298, 0.1298], [0.0000, 0.1298, 0.3702], [0.0000, 0.0000, 0.0000], [0.0000, 0.5000, 0.5000], [0.5000, 0.1748, 0.6748], [0.5000, 0.6748, 0.8252], [0.5000, 0.8252, 0.3252], [0.5000, 0.3252, 0.1748]]
}



Entry 10:
{
  "formula": "AlAg3",
  "functional": "meta-GGA SCAN",
  "state": "single point on PBEsol structure",
  "m_tot_mub_per_atom": 0.000,
  "mass_density_g_cm3": 9.0,
  "total_energy_ev_per_atom": -25.56,
  "e_form_ev_per_atom": -0.093,
  "lattice": [[-0.0421, -0.3620, 3.0576], [4.0687, -2.1253, -0.1956], [0.1096, 5.2614, -0.9261]],
  "species": ["Al", "Ag", "Ag", "Ag"],
  "frac_coords": [[0.0000, 0.5000, 0.0000], [0.2638, 0.2638, 0.5276], [0.7362, 0.7362, 0.4724], [0.5000, 0.0000, 0.0000]]
}



Entry 11:
{
  "formula": "Gd3Se4O12F",
  "functional": "meta-GGA SCAN",
  "state": "single point on PBEsol structure",
  "m_tot_mub_per_atom": 1.046,
  "e_form_raw_kj_per_mol_atoms": -212.1,
  "mass_density_g_cm3": 5.1,
  "total_energy_ev_per_atom": -18.95,
  "lattice": [[-0.3056, -6.1544, 3.0459], [10.0952, 0.7525, 2.5332], [-7.3006, 3.5955, 6.5322]],
  "species": ["Gd", "Gd", "Gd", "Gd", "Gd", "Gd", "Se", "Se", "Se", "Se", "Se", "Se", "Se", "Se", "O", "O", "O", "O", "O", "O", "O", "O", "O", "O", "O", "O", "O", "O", "O", "O", "O", "O", "O", "O", "O", "O", "O", "O", "F", "F"],
  "frac_coords": [[0.0835, 0.4621, 0.9242], [0.5835, 0.5379, 0.4621], [0.5835, 0.9242, 0.4621], [0.5835, 0.5379, 0.0758], [0.0835, 0.4621, 0.5379], [0.0835, 0.0758, 0.5379], [0.8519, 0.1551, 0.3103], [0.3519, 0.8449, 0.6897], [0.5209, 0.3333, 0.6667], [0.3519, 0.8449, 0.1551], [0.8519, 0.6897, 0.8449], [0.8519, 0.1551, 0.8449], [0.0209, 0.6667, 0.3333], [0.3519, 0.3103, 0.1551], [0.2796, 0.6648, 0.0815], [0.9065, 0.5814, 0.4186], [0.7796, 0.0815, 0.4167], [0.0906, 0.1827, 0.3654], [0.2796, 0.9185, 0.3352], [0.7796, 0.0815, 0.6648], [0.2796, 0.9185, 0.5833], [0.5906, 0.3654, 0.1827], [0.2796, 0.4167, 0.3352], [0.0906, 0.1827, 0.8173], [0.7796, 0.5833, 0.9185], [0.4065, 0.4186, 0.5814], [0.9065, 0.8373, 0.4186], [0.5906, 0.8173, 0.1827], [0.7796, 0.5833, 0.6648], [0.5906, 0.8173, 0.6346], [0.4065, 0.1627, 0.5814], [0.7796, 0.3352, 0.9185], [0.2796, 0.6648, 0.5833], [0.4065, 0.4186, 0.8373], [0.7796, 0.3352, 0.4167], [0.0906, 0.6346, 0.8173], [0.9065, 0.5814, 0.1627], [0.2796, 0.4167, 0.0815], [0.0351, 0.3333, 0.6667], [0.5351, 0.6667, 0.3333]]
}